The following is a PBE calculation of an optimized crystal structure of TmOs, from OQMD via LeMat-Bulk.

Geometry as extended XYZ:
```
2
Lattice="3.2167 0.0000 0.0000 -1.6084 2.7858 0.0000 0.0000 0.0000 4.3365" Properties=species:S:1:pos:R:3 pbc="T T T"
Tm 0.0000 0.0000 0.0000
Os 0.0000 1.8572 2.1683
```

Output
uncorrected energy	-7.591	eV per atom
symmetry	No. 187

The following is a PBE calculation of an optimized crystal structure of Ge2PdPt, from OQMD via LeMat-Bulk.

Geometry as extended XYZ:
```
8
Lattice="3.6651 0.0000 0.0000 0.0000 5.8405 0.0000 0.0000 0.0000 6.2659" Properties=species:S:1:pos:R:3 pbc="T T T"
Ge 0.0000 0.3421 0.0000
Ge 0.0000 3.3081 2.0956
Ge 1.8325 2.5324 5.2286
Ge 1.8325 5.4984 3.1329
Pd 0.0000 4.3570 4.5361
Pd 1.8325 1.4835 1.4032
Pt 0.0000 1.4537 3.8176
Pt 1.8325 4.3868 0.6847
```

Output
symmetry	No. 31
energy relative to the lowest polymorph listed for this composition	0.4	kJ/mol of atoms

The following is a PBE calculation of an optimized crystal structure of YNpNi, from OQMD via LeMat-Bulk.

Geometry as extended XYZ:
```
12
Lattice="6.4999 0.0000 0.0000 0.0000 6.4999 0.0000 0.0000 0.0000 6.4999" Properties=species:S:1:pos:R:3 pbc="T T T"
Y 0.0000 0.0000 0.0000
Y 0.0000 3.2500 3.2500
Y 3.2500 0.0000 3.2500
Y 3.2500 3.2500 0.0000
Np 0.0000 0.0000 3.2500
Np 0.0000 3.2500 0.0000
Np 3.2500 0.0000 0.0000
Np 3.2500 3.2500 3.2500
Ni 1.6250 1.6250 1.6250
Ni 1.6250 4.8749 4.8749
Ni 4.8749 1.6250 4.8749
Ni 4.8749 4.8749 1.6250
```

Output
uncorrected energy	-7.561	eV per atom
symmetry	No. 216